## Cs2LiMoSe4 (PBE)

Data for a relaxed Cs2LiMoSe4 crystal.

Summary:
As for the raw formation energy: -0.92 eV per atom. The value obtained for the size of the total moment is 1.016 μB/f.u.

Lattice parameters (Å, degrees): 14.861 13.310 7.910 84.86 63.13 32.01
Positions (direct):
Cs 0.053 0.053 0.697
Cs 0.303 0.303 0.947
Cs 0.697 0.697 0.053
Cs 0.947 0.947 0.303
Li 0.125 0.125 0.125
Li 0.875 0.875 0.875
Mo 0.375 0.375 0.375
Mo 0.625 0.625 0.625
Se 0.001 0.645 0.561
Se 0.294 0.561 0.645
Se 0.355 0.999 0.706
Se 0.439 0.706 0.999
Se 0.561 0.294 0.001
Se 0.645 0.001 0.294
Se 0.706 0.439 0.355
Se 0.999 0.355 0.439

## Ti2InCl6 (PBE)

Data for a relaxed Ti2InCl6 crystal.

Summary:
As for the raw formation energy: -1.38 eV per atom. The value obtained for the size of the total moment is 3.000 μB/f.u.

Lattice parameters (Å, degrees): 6.164 6.164 7.627 90.00 90.00 120.00
Positions (direct):
Ti 0.333 0.667 0.000
Ti 0.667 0.333 0.000
In 0.000 0.000 0.500
Cl 0.000 0.347 0.811
Cl 0.000 0.653 0.189
Cl 0.347 0.000 0.811
Cl 0.347 0.347 0.189
Cl 0.653 0.000 0.189
Cl 0.653 0.653 0.811

## Na2AlGa3 (PBE)

Data for a relaxed Na2AlGa3 crystal.

Summary:
As for the total energy: -16.07 eV per cell. The value obtained for the size of the total moment is 0.000 μB/f.u.

Lattice parameters (Å, degrees): 5.754 5.754 7.320 128.25 128.25 45.43
Positions (direct):
Na 0.000 0.000 0.000
Na 0.128 0.128 0.633
Al 0.728 0.728 0.411
Ga 0.403 0.403 0.221
Ga 0.406 0.406 0.599
Ga 0.724 0.724 0.036